First-principles (PBE-GGA) data for crystalline TaBr at its relaxed geometry, as listed in Alexandria.

Cell: 3.964 3.964 6.748 Å, 90.00 90.00 90.00°
Positions (direct):
1 Ta 0.250 0.750 0.000
2 Ta 0.750 0.250 0.000
3 Br 0.250 0.250 0.278
4 Br 0.750 0.750 0.722

## Properties
SG: No. 129
Crystal system: tetragonal
E, eV per atom: -6.4538
Theoretical density, Mg/m³: 8.2
Raw formation energy, eV/atom: 0.31